(1)
## CaNd4Ge4 (PBE)

Data for a relaxed CaNd4Ge4 crystal.

Unit cell a=6.113 b=9.259 c=9.259 alpha=90.00 beta=90.00 gamma=90.00
Fractional positions:
Ca 0.000 0.000 0.000
Ca 0.500 0.500 0.500
Nd 0.369 0.321 0.908
Nd 0.869 0.592 0.821
Nd 0.369 0.679 0.092
Nd 0.131 0.179 0.592
Nd 0.631 0.908 0.679
Nd 0.131 0.821 0.408
Nd 0.869 0.408 0.179
Nd 0.631 0.092 0.321
Ge 0.638 0.769 0.368
Ge 0.638 0.231 0.632
Ge 0.138 0.868 0.731
Ge 0.862 0.269 0.868
Ge 0.862 0.731 0.132
Ge 0.362 0.368 0.231
Ge 0.362 0.632 0.769
Ge 0.138 0.132 0.269


(2)
## CeAgSn (PBE)

Data for a relaxed CeAgSn crystal.

Unit cell a=2.967 b=2.967 c=8.951 alpha=99.54 beta=99.54 gamma=90.00
Site moments in Bohr magnetons follow the coordinates.
Fractional positions:
Ag 0.768 0.768 0.537  0.00
Sn 0.134 0.134 0.268  0.00
Ce 0.947 0.947 0.895  0.43


(3)
## TaNbReTe2 (PBE)

Data for a relaxed TaNbReTe2 crystal.

Its formation energy (no corrections) is 1.52 eV per atom.

Unit cell a=5.105 b=4.866 c=5.105 alpha=90.00 beta=90.00 gamma=90.00
Fractional positions:
Re 0.000 0.000 0.000
Nb 0.500 0.500 0.500
Te 0.000 0.000 0.500
Te 0.500 0.000 0.000
Ta 0.000 0.500 0.000


(4)
## Sr2Li4Sn3Ge (PBE)

Data for a relaxed Sr2Li4Sn3Ge crystal.

Unit cell a=4.698 b=4.698 c=10.976 alpha=90.00 beta=90.00 gamma=90.00
Fractional positions:
Sr 0.500 0.000 0.253
Sr 0.000 0.500 0.747
Li 0.500 0.500 0.000
Li 0.000 0.000 0.000
Li 0.500 0.000 0.625
Li 0.000 0.500 0.375
Sn 0.000 0.000 0.500
Sn 0.500 0.000 0.874
Sn 0.000 0.500 0.126
Ge 0.500 0.500 0.500


no.,uncorrected energy (eV/f.u.),density of states at the Fermi level (states/eV/cell)
1,-44.72,14.4
2,-11.87,5.3
3,-33.04,7.6
4,-31.51,4.8